Here is an optimized crystal structure of Pr4Pd2I3 from Alexandria. Energies are from PBE.

a b c (Å): 4.276 4.276 20.059
angles (deg): 90.05 90.05 60.00
Element x y z (fractional)
Pr1 0.001 0.001 0.288
Pr2 0.334 0.334 0.126
Pr3 0.666 0.666 0.874
Pr4 0.999 0.999 0.712
Pd1 0.333 0.333 0.797
Pd2 0.667 0.667 0.203
I1 0.000 0.000 0.000
I2 0.334 0.334 0.397
I3 0.666 0.666 0.603

Values from the calculation:
The calculation puts the volume at 317.7 Å³ per cell. The density is 6.05 g/cm³. As for the electronic total energy: -4.778 eV per atom. The value obtained for the raw formation energy is -0.98 eV/atom. As for the symmetry: C2/m.

=====

Here is an optimized crystal structure of Pr2PdI from Alexandria. Energies are from PBE.

a b c (Å): 4.303 4.303 24.481
angles (deg): 90.00 90.00 120.00
Element x y z (fractional)
Pr1 0.000 0.000 0.230
Pr2 0.000 0.000 0.770
Pr3 0.333 0.667 0.437
Pr4 0.333 0.667 0.896
Pr5 0.667 0.333 0.104
Pr6 0.667 0.333 0.563
Pd1 0.000 0.000 0.500
Pd2 0.333 0.667 0.167
Pd3 0.667 0.333 0.833
I1 0.000 0.000 0.000
I2 0.333 0.667 0.667
I3 0.667 0.333 0.333

Values from the calculation:
The calculation puts the energy above the lowest structure with this stoichiometry at 0.0 meV/atom. The calculation puts the volume at 392.5 Å³ per cell. The density is 6.54 g/cm³. As for the electronic total energy: -4.939 eV per atom. The value obtained for the raw formation energy is -0.86 eV/atom. As for the symmetry: R-3m.

=====

Here is an optimized crystal structure of PrPdI6 from Alexandria. Energies are from PBE.

a b c (Å): 7.215 7.298 7.882
angles (deg): 62.53 65.66 63.15
Element x y z (fractional)
Pr1 0.000 0.000 0.000
Pd1 0.500 0.500 0.500
I1 0.100 0.732 0.742
I2 0.278 0.556 0.262
I3 0.437 0.108 0.731
I4 0.563 0.892 0.269
I5 0.722 0.444 0.738
I6 0.900 0.268 0.258

Values from the calculation:
The calculation puts the volume at 317.4 Å³ per cell. The density is 5.28 g/cm³. As for the electronic total energy: -3.045 eV per atom. The value obtained for the raw formation energy is -0.64 eV/atom. As for the symmetry: P-1.

=====

Question: The highest raw formation energy belongs to which entry?
Answer: PrPdI6

=====

Question: The highest raw formation energy belongs to which entry?
Answer: PrPdI6